No. 1
A geometry-optimized AlCrReAg2 structure, computed with PBE.

Output
crystal system	tetragonal
N(E_F)	0.8647	states/eV/atom
ΔH_f (0 K)	141.1	kJ per mole of atoms

Cell: 5.165 5.165 4.430 Å, 90.00 90.00 90.00°
Space group P4/mmm (No. 123)
Asymmetric unit:
Al (0.000, 0.000, 0.000) (multiplicity 1)
Cr (0.500, 0.500, 0.000) (multiplicity 1)
Re (0.500, 0.500, 0.500) (multiplicity 1)
Ag (0.000, 0.500, 0.500) (multiplicity 2)


No. 2
A geometry-optimized AlCr2Ag2S6 structure, computed with PBE.

Output
ΔE_f (raw)	-0.572	eV/atom
crystal system	monoclinic
N(E_F)	0.1332	states/eV/atom

Cell: 6.103 10.168 7.561 Å, 90.00 105.51 90.00°
Space group C2/m (No. 12)
Asymmetric unit:
Al (0.000, 0.000, 0.000) (multiplicity 2)
Cr (0.000, 0.351, 0.000) (multiplicity 4)
Ag (0.000, 0.168, 0.500) (multiplicity 4)
S (0.109, 0.500, 0.808) (multiplicity 4)
S (0.110, 0.170, 0.827) (multiplicity 8)


No. 3
A geometry-optimized AlZnCrAg structure, computed with PBE.

Output
crystal system	cubic
N(E_F)	0.5119	states/eV/atom
ΔH_f (0 K)	8.8	kJ per mole of atoms

Cell: 6.284 6.284 6.284 Å, 90.00 90.00 90.00°
Space group F-43m (No. 216)
Asymmetric unit:
Al (0.000, 0.000, 0.000) (multiplicity 4)
Zn (0.000, 0.000, 0.500) (multiplicity 4)
Cr (0.250, 0.250, 0.250) (multiplicity 4)
Ag (0.250, 0.250, 0.750) (multiplicity 4)


No. 4
A geometry-optimized CsAl2Ag2 structure, computed with PBE.

Output
crystal system	tetragonal
energy above the most stable polymorph in this dataset	0.0000	eV per atom
N(E_F)	0.5930	states/eV/atom
ΔH_f (0 K)	11.5	kJ per mole of atoms

Cell: 4.577 4.577 14.273 Å, 90.00 90.00 90.00°
Space group I4/mmm (No. 139)
Asymmetric unit:
Cs (0.000, 0.000, 0.000) (multiplicity 2)
Al (0.000, 0.500, 0.250) (multiplicity 4)
Ag (0.000, 0.000, 0.339) (multiplicity 4)


No. 5
A geometry-optimized CsAlAg structure, computed with PBE.

Output
crystal system	tetragonal
energy above the most stable polymorph in this dataset	0.0818	eV per atom
N(E_F)	0.6201	states/eV/atom
ΔH_f (0 K)	19.5	kJ per mole of atoms

Cell: 3.649 3.649 13.828 Å, 90.00 90.00 90.00°
Space group I4mm (No. 107)
Asymmetric unit:
Cs (0.000, 0.000, 0.000) (multiplicity 2)
Al (0.000, 0.000, 0.717) (multiplicity 2)
Ag (0.000, 0.000, 0.277) (multiplicity 2)


No. 6
A geometry-optimized Cs3AlAg structure, computed with PBE.

Output
crystal system	cubic
energy above the most stable polymorph in this dataset	0.0000	eV per atom
N(E_F)	1.2040	states/eV/atom
ΔH_f (0 K)	40.8	kJ per mole of atoms

Cell: 6.998 6.998 6.998 Å, 90.00 90.00 90.00°
Space group Pm-3m (No. 221)
Asymmetric unit:
Cs (0.000, 0.000, 0.500) (multiplicity 3)
Al (0.500, 0.500, 0.500) (multiplicity 1)
Ag (0.000, 0.000, 0.000) (multiplicity 1)


No. 7
A geometry-optimized CsAl2Ag2 structure, computed with PBE.

Output
crystal system	tetragonal
energy above the most stable polymorph in this dataset	0.0372	eV per atom
N(E_F)	0.3201	states/eV/atom
ΔH_f (0 K)	15.1	kJ per mole of atoms

Cell: 4.812 4.812 12.544 Å, 90.00 90.00 90.00°
Space group I4/mmm (No. 139)
Asymmetric unit:
Cs (0.000, 0.000, 0.000) (multiplicity 2)
Al (0.000, 0.000, 0.337) (multiplicity 4)
Ag (0.000, 0.500, 0.250) (multiplicity 4)


No. 8
A geometry-optimized Cs2AlAg structure, computed with PBE.

Output
crystal system	tetragonal
energy above the most stable polymorph in this dataset	0.0000	eV per atom
N(E_F)	0.9676	states/eV/atom
ΔH_f (0 K)	19.1	kJ per mole of atoms

Cell: 14.050 14.050 5.012 Å, 90.00 90.00 90.00°
Space group I-42d (No. 122)
Asymmetric unit:
Cs (0.066, 0.250, 0.125) (multiplicity 8)
Al (0.000, 0.000, 0.500) (multiplicity 4)
Ag (0.000, 0.000, 0.000) (multiplicity 4)


No. 9
A geometry-optimized CsAl6Ag3 structure, computed with PBE.

Output
crystal system	monoclinic
N(E_F)	0.4454	states/eV/atom
ΔH_f (0 K)	2.7	kJ per mole of atoms

Cell: 10.412 7.133 6.826 Å, 90.00 112.34 90.00°
Space group C2/m (No. 12)
Asymmetric unit:
Cs (0.000, 0.000, 0.000) (multiplicity 2)
Al (0.146, 0.314, 0.561) (multiplicity 8)
Al (0.210, 0.500, 0.254) (multiplicity 4)
Ag (0.000, 0.000, 0.500) (multiplicity 2)
Ag (0.065, 0.500, 0.840) (multiplicity 4)


No. 10
A geometry-optimized CsAlAg2 structure, computed with PBE.

Output
crystal system	trigonal
N(E_F)	0.7844	states/eV/atom
ΔH_f (0 K)	0.1	kJ per mole of atoms

Cell: 4.7272 4.7272 20.1479 Å, 90.00 90.00 120.00°
Space group R-3m (No. 166, hexagonal axes)
Asymmetric unit:
Cs (0.0000, 0.0000, 0.0000) (multiplicity 3)
Al (0.0000, 0.0000, 0.5000) (multiplicity 3)
Ag (0.0000, 0.0000, 0.1793) (multiplicity 6)


No. 11
A geometry-optimized CsAl8Ag6 structure, computed with PBE.

Output
crystal system	trigonal
N(E_F)	0.4559	states/eV/atom
ΔH_f (0 K)	10.2	kJ per mole of atoms

Cell: 8.1430 8.1430 15.8384 Å, 90.00 90.00 120.00°
Space group R-3 (No. 148, hexagonal axes)
Asymmetric unit:
Cs (0.0000, 0.0000, 0.0000) (multiplicity 3)
Al (0.0000, 0.0000, 0.2265) (multiplicity 6)
Al (0.0015, 0.3422, 0.1414) (multiplicity 18)
Ag (0.0146, 0.2124, 0.6339) (multiplicity 18)


No. 12
A geometry-optimized CsAlAg structure, computed with PBE.

Output
crystal system	monoclinic
energy above the most stable polymorph in this dataset	0.0000	eV per atom
N(E_F)	0.5594	states/eV/atom
ΔH_f (0 K)	11.6	kJ per mole of atoms

Cell: 7.592 4.748 12.933 Å, 90.00 100.07 90.00°
Space group C2/m (No. 12)
Asymmetric unit:
Cs (0.213, 0.000, 0.302) (multiplicity 4)
Al (0.161, 0.000, 0.960) (multiplicity 4)
Ag (0.000, 0.500, 0.106) (multiplicity 4)